No. 1
{"formula": "LiPb4", "functional": "PBE", "state": "relaxed", "spacegroup": "Pbam (55)", "m_tot_mub_per_cell": 0.000, "rho_g_cm3": 9.2, "lattice_angstrom": [[-0.743, -2.416, -4.795], [-1.382, -4.594, 2.529], [-9.868, 2.983, 0.029]], "species": ["Pb", "Pb", "Pb", "Pb", "Pb", "Pb", "Pb", "Pb", "Li", "Li"], "frac_coords": [[0.000, 0.480, 0.159], [0.000, 0.020, 0.659], [0.500, 0.607, 0.651], [0.000, 0.980, 0.341], [0.500, 0.107, 0.849], [0.000, 0.520, 0.841], [0.500, 0.893, 0.151], [0.500, 0.393, 0.349], [0.000, 0.000, 0.000], [0.000, 0.500, 0.500]]}

***

No. 2
{"formula": "Li4Pb5", "functional": "PBE", "state": "relaxed", "spacegroup": "Immm (71)", "m_tot_mub_per_cell": 0.000, "rho_g_cm3": 8.0, "lattice_angstrom": [[3.590, 0.001, 0.001], [1.793, 7.902, 0.183], [1.793, 1.222, 7.809]], "species": ["Li", "Li", "Li", "Li", "Pb", "Pb", "Pb", "Pb", "Pb"], "frac_coords": [[0.345, 0.640, 0.669], [0.655, 0.331, 0.360], [0.345, 0.003, 0.307], [0.655, 0.693, 0.997], [0.000, 0.325, 0.675], [0.000, 0.009, 0.991], [0.000, 0.667, 0.333], [0.290, 0.376, 0.043], [0.710, 0.957, 0.624]]}

***

No. 3
{"formula": "Li3Pb7", "functional": "PBE", "state": "relaxed", "spacegroup": "C2/m (12)", "m_tot_mub_per_cell": 0.000, "rho_g_cm3": 9.0, "lattice_angstrom": [[-2.655, 1.278, -3.856], [-4.582, -4.892, 1.533], [-1.513, 6.048, 6.100]], "species": ["Li", "Li", "Li", "Pb", "Pb", "Pb", "Pb", "Pb", "Pb", "Pb"], "frac_coords": [[0.000, 0.000, 0.000], [0.192, 0.620, 0.385], [0.808, 0.380, 0.615], [0.409, 0.169, 0.817], [0.615, 0.333, 0.229], [0.000, 0.500, 0.000], [0.591, 0.831, 0.183], [0.385, 0.667, 0.771], [0.201, 0.124, 0.403], [0.799, 0.876, 0.597]]}

***

Table of ΔE_f (meV/atom), in record order: -21, -193, -135
Table of DFT total energy (eV per atom), in record order: -3.3709, -3.1036, -3.3050
Table of offset from the most stable computed form (meV/atom), in record order: 22, 0, 0